Density functional theory data (PBE) for a geometry-optimized Pr2Y2Sc structure.

```
Pr2Y2Sc
1.0
-3.092 -3.476 -1.347
1.633 -2.725 -5.423
1.958 -5.746 1.627
Pr Y Sc
2 2 1
direct
0.500 0.292 0.708 Pr
0.500 0.708 0.292 Pr
0.209 0.291 0.291 Y
0.791 0.709 0.709 Y
0.000 0.000 0.000 Sc
```

Values from the calculation:
The calculation puts the offset from the most stable computed form at 170 meV/atom. The calculation puts the energy of formation at 0.21 eV/atom. Its space-group type is Immm (71).

---

Density functional theory data (PBE) for a geometry-optimized PrY7Sc2 structure.

```
PrY7Sc2
1.0
5.445 2.683 -0.684
4.196 9.308 -2.743
-1.448 0.277 7.732
Pr Y Sc
1 7 2
direct
0.000 0.000 0.000 Pr
0.100 0.701 0.597 Y
0.900 0.299 0.403 Y
0.805 0.598 0.793 Y
0.195 0.402 0.207 Y
0.700 0.902 0.206 Y
0.300 0.098 0.794 Y
0.500 0.500 0.000 Y
0.392 0.803 0.401 Sc
0.608 0.197 0.599 Sc
```

Values from the calculation:
The calculation puts the energy of formation at 0.04 eV/atom. Its space-group type is P-1 (2).

---

Density functional theory data (PBE) for a geometry-optimized Pr5Y5Sc structure.

```
Pr5Y5Sc
1.0
6.073 0.000 0.000
-3.037 9.384 0.510
0.000 -2.663 6.439
Pr Y Sc
5 5 1
direct
0.676 0.351 0.190 Pr
0.628 0.255 0.643 Pr
0.000 0.000 0.500 Pr
0.372 0.745 0.357 Pr
0.324 0.649 0.810 Pr
0.829 0.659 0.079 Y
0.826 0.652 0.590 Y
0.500 0.000 0.000 Y
0.174 0.348 0.410 Y
0.171 0.341 0.921 Y
0.000 0.000 0.000 Sc
```

Values from the calculation:
The calculation puts the energy of formation at 0.25 eV/atom. Its space-group type is C2/m (12).